Computed, not measured: a relaxed TbCrO5 crystal at the PBE+U level of DFT.

Computed properties:
**E_tot**: -0.5174 Ry/atom

abc: 7.2847 7.2847 4.5054
angles: 90.00 90.00 90.00
Closest atoms and distances in Å follow each position.
Space group P4/nmm (No. 129, origin choice 2)
Unique sites:
Tb 0.2500 0.2500 0.2442  6 O 2.24-2.29
Cr 0.2500 0.7500 0.5000  4 O 1.66
O 0.0632 0.7500 0.7121  1 Cr 1.66
O 0.2500 0.2500 0.7465  2 Tb 2.24-2.26